[1]
# Zn3PdBr | Alexandria | GGA-PBE | optimized geometry
data_Zn3PdBr
_cell_length_a 5.026
_cell_length_b 5.026
_cell_length_c 5.026
_cell_angle_alpha 90.00
_cell_angle_beta 90.00
_cell_angle_gamma 90.00
_symmetry_space_group_name_H-M 'P m -3 m'
_symmetry_Int_Tables_number 221
_symmetry_space_group_name_Hall '-P 4 2 3'
loop_
_atom_site_label
_atom_site_type_symbol
_atom_site_fract_x
_atom_site_fract_y
_atom_site_fract_z
_atom_site_occupancy
Zn1 Zn 0.000 0.000 0.500 1
Pd1 Pd 0.500 0.500 0.500 1
Br1 Br 0.000 0.000 0.000 1
# Raw formation energy ... 0.92 eV/atom
# M_tot ... 0.0 μB per cell
# E above lowest polymorph ... 22.85 kcal/mol of atoms
# Energy ... -6.07 eV/f.u.

[2]
# Cs3Hg6Pd2 | Alexandria | GGA-PBE | optimized geometry
data_Cs3Hg6Pd2
_cell_length_a 5.447
_cell_length_b 5.447
_cell_length_c 29.664
_cell_angle_alpha 90.00
_cell_angle_beta 90.00
_cell_angle_gamma 90.00
_symmetry_space_group_name_H-M 'I 4/m m m'
_symmetry_Int_Tables_number 139
_symmetry_space_group_name_Hall '-I 4 2'
loop_
_atom_site_label
_atom_site_type_symbol
_atom_site_fract_x
_atom_site_fract_y
_atom_site_fract_z
_atom_site_occupancy
Cs1 Cs 0.000 0.000 0.000 1
Cs2 Cs 0.000 0.000 0.184 1
Hg1 Hg 0.000 0.000 0.317 1
Hg2 Hg 0.000 0.500 0.092 1
Pd1 Pd 0.000 0.000 0.409 1
# ΔH_f (0 K) ... -2.43 eV per formula unit
# M_tot ... 0.0 μB per cell
# Energy ... -17.18 eV/f.u.

[3]
# Pr2HoF11 | Alexandria | GGA-PBE | optimized geometry
data_Pr2HoF11
_cell_length_a 8.755
_cell_length_b 10.495
_cell_length_c 11.324
_cell_angle_alpha 90.00
_cell_angle_beta 90.00
_cell_angle_gamma 90.00
_symmetry_space_group_name_H-M 'I b a m'
_symmetry_Int_Tables_number 72
_symmetry_space_group_name_Hall '-I 2 2c'
loop_
_atom_site_label
_atom_site_type_symbol
_atom_site_fract_x
_atom_site_fract_y
_atom_site_fract_z
_atom_site_occupancy
Pr1 Pr 0.166 0.191 0.000 1
Ho1 Ho 0.000 0.500 0.250 1
F1 F 0.000 0.000 0.000 1
F2 F 0.098 0.332 0.149 1
F3 F 0.106 0.186 0.500 1
F4 F 0.194 0.428 0.365 1
# Raw formation energy ... -3.40 eV/atom
# M_tot ... 8.5 μB per cell
# Energy ... -82.36 eV/f.u.

> The lowest energy belongs to which entry?

Pr2HoF11

> What is the energy in the second record?

-17.18 eV/f.u.

> Which value of energy does entry 1 give?

-6.07 eV/f.u.